No. 1
The following is a DFT calculation (GGA-PBE) of crystalline LaAu4 at its relaxed geometry.

Cell: 5.6374 5.6374 5.6374 Å, 90.00 90.00 90.00°
Sites, in units of the cell vectors:
Au (0.0000, 0.0000, 0.0000)
Au (0.5000, 0.0000, 0.5000)
Au (0.0000, 0.5000, 0.5000)
Au (0.5000, 0.5000, 0.0000)
La (0.5000, 0.5000, 0.5000)

Mass density ... 8.590 g/cm³
ΔE_f ... 298 kJ/mol of formula units
Space group ... Pm-3m, No. 221

No. 2
The following is a DFT calculation (GGA-PBE) of crystalline La2Au3 at its relaxed geometry.

Cell: 9.0125 9.0125 9.0125 Å, 154.97 154.97 35.69°
Each line ends with the local moment (μB).
Sites, in units of the cell vectors:
La (0.6725, 0.6725, 0.0000)  0.26
La (0.3275, 0.3275, 0.0000)  0.26
Au (0.9154, 0.9154, 0.0000)  0.01
Au (0.5000, 0.5000, 0.0000)  0.01
Au (0.0846, 0.0846, 0.0000)  0.01

Mass density ... 11.020 g/cm³
ΔE_f ... -219 kJ/mol of formula units
Space group ... I4/mmm, No. 139

No. 3
The following is a DFT calculation (GGA-PBE) of crystalline LaAu6 at its relaxed geometry.

Cell: 6.4113 6.4113 6.4113 Å, 90.00 90.00 90.00°
Each line ends with the local moment (μB).
Sites, in units of the cell vectors:
La (0.0000, 0.0000, 0.0000)  0.45
Au (0.1959, 0.5000, 0.5000)  0.00
Au (0.5000, 0.5000, 0.8041)  0.00
Au (0.5000, 0.5000, 0.1959)  0.00
Au (0.5000, 0.1959, 0.5000)  0.00
Au (0.5000, 0.8041, 0.5000)  0.00
Au (0.8041, 0.5000, 0.5000)  0.00

Mass density ... 8.322 g/cm³
ΔE_f ... 452 kJ/mol of formula units
Space group ... Pm-3m, No. 221

No. 4
The following is a DFT calculation (GGA-PBE) of crystalline La3Au5 at its relaxed geometry.

Cell: 6.1082 8.0726 9.4795 Å, 83.00 71.21 67.77°
Sites, in units of the cell vectors:
La (0.9323, 0.3752, 0.6651)
La (0.6925, 0.3752, 0.3349)
La (0.8474, 0.8752, 0.8349)
La (0.2775, 0.8752, 0.1651)
La (0.5534, 0.8933, 0.5000)
La (0.3034, 0.3933, 0.0000)
Au (0.4379, 0.7208, 0.8284)
Au (0.8414, 0.7208, 0.1716)
Au (0.5163, 0.2208, 0.6716)
Au (0.2629, 0.2208, 0.3284)
Au (0.7345, 0.0978, 0.1161)
Au (0.1677, 0.0978, 0.8839)
Au (0.1006, 0.5978, 0.3839)
Au (0.3016, 0.5978, 0.6161)
Au (0.9989, 0.0023, 0.5000)
Au (0.7489, 0.5023, 0.0000)

Mass density ... 11.364 g/cm³
ΔE_f ... -608 kJ/mol of formula units
Space group ... Fdd2, No. 43

No. 5
The following is a DFT calculation (GGA-PBE) of crystalline LaAu at its relaxed geometry.

Cell: 10.6061 9.0473 7.0057 Å, 90.00 90.00 90.00°
Sites, in units of the cell vectors:
Au (0.1533, 0.8602, 0.2500)
Au (0.8467, 0.1398, 0.7500)
Au (0.8467, 0.3602, 0.2500)
Au (0.1533, 0.6398, 0.7500)
Au (0.4226, 0.4574, 0.2500)
Au (0.5774, 0.5426, 0.7500)
Au (0.5774, 0.9574, 0.2500)
Au (0.4226, 0.0426, 0.7500)
Au (0.0631, 0.2500, 0.0000)
Au (0.9369, 0.7500, 0.5000)
Au (0.9369, 0.7500, 0.0000)
Au (0.0631, 0.2500, 0.5000)
La (0.1141, 0.5282, 0.2500)
La (0.8859, 0.4718, 0.7500)
La (0.8859, 0.0282, 0.2500)
La (0.1141, 0.9718, 0.7500)
La (0.2957, 0.1407, 0.2500)
La (0.7043, 0.8593, 0.7500)
La (0.7043, 0.6407, 0.2500)
La (0.2957, 0.3593, 0.7500)
La (0.6059, 0.2500, 0.0000)
La (0.3941, 0.7500, 0.5000)
La (0.3941, 0.7500, 0.0000)
La (0.6059, 0.2500, 0.5000)

Mass density ... 9.956 g/cm³
ΔE_f ... -140 kJ/mol of formula units
Space group ... Pbcm, No. 57

No. 6
The following is a DFT calculation (GGA-PBE) of crystalline La5Au at its relaxed geometry.

Cell: 6.6303 6.6303 12.8823 Å, 136.78 136.78 33.22°
Sites, in units of the cell vectors:
Au (0.9875, 0.9875, 0.9906)
La (0.1844, 0.1844, 0.7822)
La (0.3406, 0.3406, 0.6512)
La (0.4623, 0.4623, 0.4142)
La (0.6207, 0.6207, 0.2668)
La (0.7378, 0.7378, 0.0616)

Mass density ... 7.348 g/cm³
ΔE_f ... -139 kJ/mol of formula units
Space group ... Cm, No. 8

No. 7
The following is a DFT calculation (GGA-PBE) of crystalline La5Au2 at its relaxed geometry.

Cell: 6.9999 7.4044 9.6350 Å, 95.66 111.30 90.00°
Sites, in units of the cell vectors:
La (0.2027, 0.4436, 0.1833)
La (0.0194, 0.0564, 0.8167)
La (0.2065, 0.6971, 0.5543)
La (0.6522, 0.8029, 0.4457)
La (0.7935, 0.3029, 0.4457)
La (0.3478, 0.1971, 0.5543)
La (0.9806, 0.9436, 0.1833)
La (0.7973, 0.5564, 0.8167)
La (0.5710, 0.2500, 0.0000)
La (0.4290, 0.7500, 0.0000)
Au (0.1941, 0.4261, 0.7767)
Au (0.4174, 0.0739, 0.2233)
Au (0.8059, 0.5739, 0.2233)
Au (0.5826, 0.9261, 0.7767)

Mass density ... 7.813 g/cm³
ΔE_f ... -310 kJ/mol of formula units
Space group ... C2/c, No. 15

No. 8
The following is a DFT calculation (GGA-PBE) of crystalline LaAu at its relaxed geometry.

Cell: 4.4429 4.4429 7.7233 Å, 90.00 90.00 120.00°
Sites, in units of the cell vectors:
Au (0.0000, 0.0000, 0.0193)
Au (0.3333, 0.6667, 0.2307)
La (0.0000, 0.0000, 0.4294)
La (0.3333, 0.6667, 0.8206)

Mass density ... 8.449 g/cm³
ΔE_f ... -81 kJ/mol of formula units
Space group ... P-3m1, No. 164

No. 9
The following is a DFT calculation (GGA-PBE) of crystalline La4Au3 at its relaxed geometry.

Cell: 12.8313 12.8313 12.8313 Å, 162.09 162.09 25.43°
Sites, in units of the cell vectors:
La (0.1618, 0.1618, 0.0000)
La (0.4318, 0.4318, 0.0000)
La (0.5682, 0.5682, 0.0000)
La (0.8382, 0.8382, 0.0000)
Au (0.0000, 0.0000, 0.0000)
Au (0.2883, 0.2883, 0.0000)
Au (0.7117, 0.7117, 0.0000)

Mass density ... 9.533 g/cm³
ΔE_f ... -376 kJ/mol of formula units
Space group ... I4/mmm, No. 139

No. 10
The following is a DFT calculation (GGA-PBE) of crystalline La3Au5 at its relaxed geometry.

Cell: 9.0409 9.0409 6.2588 Å, 90.00 90.00 120.00°
Sites, in units of the cell vectors:
Au (0.0000, 0.3223, 0.2500)
Au (0.0000, 0.6777, 0.7500)
Au (0.3223, 0.0000, 0.2500)
Au (0.3223, 0.3223, 0.7500)
Au (0.3333, 0.6667, 0.0000)
Au (0.3333, 0.6667, 0.5000)
Au (0.6667, 0.3333, 0.0000)
Au (0.6667, 0.3333, 0.5000)
Au (0.6777, 0.0000, 0.7500)
Au (0.6777, 0.6777, 0.2500)
La (0.0000, 0.3458, 0.7500)
La (0.0000, 0.6542, 0.2500)
La (0.3458, 0.0000, 0.7500)
La (0.3458, 0.3458, 0.2500)
La (0.6542, 0.0000, 0.2500)
La (0.6542, 0.6542, 0.7500)

Mass density ... 10.506 g/cm³
ΔE_f ... -544 kJ/mol of formula units
Space group ... P6_3/mcm, No. 193

No. 11
The following is a DFT calculation (GGA-PBE) of crystalline La4Au5 at its relaxed geometry.

Cell: 9.1030 9.1030 6.7744 Å, 90.00 90.00 60.00°
Sites, in units of the cell vectors:
Au (0.2874, 0.7126, 0.2500)
Au (0.0000, 0.2874, 0.2500)
Au (0.7126, 0.0000, 0.2500)
Au (0.7126, 0.2874, 0.7500)
Au (0.0000, 0.7126, 0.7500)
Au (0.2874, 0.0000, 0.7500)
Au (0.3333, 0.3333, 0.0000)
Au (0.6667, 0.6667, 0.5000)
Au (0.6667, 0.6667, 0.0000)
Au (0.3333, 0.3333, 0.5000)
La (0.0000, 0.0000, 0.0000)
La (0.0000, 0.0000, 0.5000)
La (0.6144, 0.3856, 0.2500)
La (0.0000, 0.6144, 0.2500)
La (0.3856, 0.0000, 0.2500)
La (0.3856, 0.6144, 0.7500)
La (0.0000, 0.3856, 0.7500)
La (0.6144, 0.0000, 0.7500)

Mass density ... 10.524 g/cm³
ΔE_f ... -615 kJ/mol of formula units
Space group ... P6_3/mcm, No. 193

No. 12
The following is a DFT calculation (GGA-PBE) of crystalline LaAu6 at its relaxed geometry.

Cell: 6.4269 6.4269 6.4269 Å, 109.47 109.47 109.47°
Each line ends with the local moment (μB).
Sites, in units of the cell vectors:
La (0.0000, 0.0000, 0.0000)  0.21
Au (0.2500, 0.7500, 0.5000)  0.00
Au (0.5000, 0.7500, 0.2500)  0.00
Au (0.2500, 0.5000, 0.7500)  0.00
Au (0.7500, 0.2500, 0.5000)  0.00
Au (0.5000, 0.2500, 0.7500)  0.00
Au (0.7500, 0.5000, 0.2500)  0.00

Mass density ... 10.732 g/cm³
ΔE_f ... 177 kJ/mol of formula units
Space group ... Im-3m, No. 229

No. 13
The following is a DFT calculation (GGA-PBE) of crystalline La2Au3 at its relaxed geometry.

Cell: 6.2952 6.2952 8.2347 Å, 79.84 79.84 122.59°
Sites, in units of the cell vectors:
Au (0.6781, 0.8119, 0.7537)
Au (0.5656, 0.4318, 0.2463)
Au (0.1818, 0.8156, 0.7463)
Au (0.5619, 0.9281, 0.2537)
Au (0.9875, 0.9875, 0.0000)
Au (0.7375, 0.2375, 0.5000)
La (0.6042, 0.2695, 0.8951)
La (0.1646, 0.4993, 0.1049)
La (0.2493, 0.4146, 0.6049)
La (0.0195, 0.8542, 0.3951)

Mass density ... 11.281 g/cm³
ΔE_f ... -356 kJ/mol of formula units
Space group ... Fdd2, No. 43

No. 14
The following is a DFT calculation (GGA-PBE) of crystalline La5Au4 at its relaxed geometry.

Cell: 9.0570 9.0570 7.4235 Å, 90.00 90.00 60.00°
Sites, in units of the cell vectors:
Au (0.0000, 0.0000, 0.0000)
Au (0.0000, 0.0000, 0.5000)
Au (0.6070, 0.3930, 0.2500)
Au (0.0000, 0.6070, 0.2500)
Au (0.3930, 0.0000, 0.2500)
Au (0.3930, 0.6070, 0.7500)
Au (0.0000, 0.3930, 0.7500)
Au (0.6070, 0.0000, 0.7500)
La (0.2687, 0.7313, 0.2500)
La (0.0000, 0.2687, 0.2500)
La (0.7313, 0.0000, 0.2500)
La (0.7313, 0.2687, 0.7500)
La (0.0000, 0.7313, 0.7500)
La (0.2687, 0.0000, 0.7500)
La (0.3333, 0.3333, 0.0000)
La (0.6667, 0.6667, 0.5000)
La (0.6667, 0.6667, 0.0000)
La (0.3333, 0.3333, 0.5000)

Mass density ... 9.335 g/cm³
ΔE_f ... -578 kJ/mol of formula units
Space group ... P6_3/mcm, No. 193

No. 15
The following is a DFT calculation (GGA-PBE) of crystalline La14Au51 at its relaxed geometry.

Cell: 13.1265 13.1265 9.4918 Å, 90.00 90.00 120.00°
Sites, in units of the cell vectors:
La (0.4640, 0.3202, 0.5000)
La (0.8562, 0.5360, 0.5000)
La (0.6798, 0.1438, 0.5000)
La (0.5322, 0.6769, 0.5000)
La (0.1447, 0.4678, 0.5000)
La (0.3231, 0.8553, 0.5000)
La (0.1125, 0.7314, 0.0000)
La (0.6189, 0.8875, 0.0000)
La (0.2686, 0.3811, 0.0000)
La (0.8841, 0.2850, 0.0000)
La (0.4009, 0.1159, 0.0000)
La (0.7150, 0.5991, 0.0000)
La (0.0000, 0.0000, 0.7022)
La (0.0000, 0.0000, 0.2978)
Au (0.4916, 0.3763, 0.8480)
Au (0.8846, 0.5084, 0.8480)
Au (0.6237, 0.1154, 0.8480)
Au (0.5013, 0.6174, 0.8495)
Au (0.1161, 0.4987, 0.8495)
Au (0.3826, 0.8839, 0.8495)
Au (0.5013, 0.6174, 0.1505)
Au (0.1161, 0.4987, 0.1505)
Au (0.3826, 0.8839, 0.1505)
Au (0.4916, 0.3763, 0.1520)
Au (0.8846, 0.5084, 0.1520)
Au (0.6237, 0.1154, 0.1520)
Au (0.6667, 0.3333, 0.0000)
Au (0.3333, 0.6667, 0.0000)
Au (0.1016, 0.6621, 0.6640)
Au (0.5605, 0.8984, 0.6640)
Au (0.3379, 0.4395, 0.6640)
Au (0.8988, 0.3438, 0.6626)
Au (0.4450, 0.1012, 0.6626)
Au (0.6562, 0.5550, 0.6626)
Au (0.8988, 0.3438, 0.3374)
Au (0.4450, 0.1012, 0.3374)
Au (0.6562, 0.5550, 0.3374)
Au (0.1016, 0.6621, 0.3360)
Au (0.5605, 0.8984, 0.3360)
Au (0.3379, 0.4395, 0.3360)
Au (0.1981, 0.9261, 0.7644)
Au (0.7281, 0.8019, 0.7644)
Au (0.0739, 0.2719, 0.7644)
Au (0.8072, 0.0735, 0.7685)
Au (0.2663, 0.1928, 0.7685)
Au (0.9265, 0.7337, 0.7685)
Au (0.8072, 0.0735, 0.2315)
Au (0.2663, 0.1928, 0.2315)
Au (0.9265, 0.7337, 0.2315)
Au (0.1981, 0.9261, 0.2356)
Au (0.7281, 0.8019, 0.2356)
Au (0.0739, 0.2719, 0.2356)
Au (0.6667, 0.3333, 0.6990)
Au (0.3333, 0.6667, 0.6993)
Au (0.3333, 0.6667, 0.3007)
Au (0.6667, 0.3333, 0.3010)
Au (0.0583, 0.8233, 0.5000)
Au (0.7650, 0.9417, 0.5000)
Au (0.1767, 0.2350, 0.5000)
Au (0.9405, 0.1802, 0.5000)
Au (0.2398, 0.0595, 0.5000)
Au (0.8198, 0.7602, 0.5000)
Au (0.1382, 0.0289, 0.0000)
Au (0.8908, 0.8618, 0.0000)
Au (0.9711, 0.1092, 0.0000)

Mass density ... 14.057 g/cm³
ΔE_f ... -4171 kJ/mol of formula units
Space group ... P-6, No. 174

No. 16
The following is a DFT calculation (GGA-PBE) of crystalline LaAu at its relaxed geometry.

Cell: 4.4414 4.4414 7.1749 Å, 90.00 90.00 120.00°
Sites, in units of the cell vectors:
Au (0.0000, 0.0000, 0.0000)
Au (0.0000, 0.0000, 0.5000)
La (0.3333, 0.6667, 0.2500)
La (0.6667, 0.3333, 0.7500)

Mass density ... 9.101 g/cm³
ΔE_f ... -137 kJ/mol of formula units
Space group ... P6_3/mmc, No. 194

No. 17
The following is a DFT calculation (GGA-PBE) of crystalline La4Au at its relaxed geometry.

Cell: 7.3411 7.3411 8.1834 Å, 101.47 101.47 123.82°
Sites, in units of the cell vectors:
La (0.6576, 0.5118, 0.7792)
La (0.7325, 0.8783, 0.2208)
La (0.7537, 0.0965, 0.8879)
La (0.2087, 0.8658, 0.1121)
La (0.3465, 0.5037, 0.3879)
La (0.1158, 0.9587, 0.6121)
La (0.1283, 0.4825, 0.7208)
La (0.7618, 0.4076, 0.2792)
Au (0.2996, 0.2996, 0.0000)
Au (0.5496, 0.0496, 0.5000)

Mass density ... 7.526 g/cm³
ΔE_f ... -122 kJ/mol of formula units
Space group ... Fdd2, No. 43

No. 18
The following is a DFT calculation (GGA-PBE) of crystalline La3Au at its relaxed geometry.

Cell: 6.4803 9.4197 9.4197 Å, 83.20 69.88 69.88°
Sites, in units of the cell vectors:
La (0.3524, 0.9981, 0.8024)
La (0.1529, 0.0019, 0.1976)
La (0.8452, 0.8024, 0.0019)
La (0.6495, 0.1976, 0.9981)
La (0.5023, 0.3573, 0.6402)
La (0.4999, 0.6427, 0.3598)
La (0.8574, 0.6402, 0.6427)
La (0.1404, 0.3598, 0.3573)
La (0.9515, 0.9971, 0.5899)
La (0.5385, 0.0029, 0.4101)
La (0.4586, 0.5899, 0.0029)
La (0.0514, 0.4101, 0.9971)
Au (0.0031, 0.2916, 0.7043)
Au (0.9990, 0.7084, 0.2957)
Au (0.2926, 0.7043, 0.7084)
Au (0.7053, 0.2957, 0.2916)

Mass density ... 8.040 g/cm³
ΔE_f ... -148 kJ/mol of formula units
Space group ... I-4, No. 82

No. 19
The following is a DFT calculation (GGA-PBE) of crystalline LaAu at its relaxed geometry.

Cell: 5.2197 5.2197 6.1573 Å, 90.00 90.00 120.00°
Sites, in units of the cell vectors:
La (0.3333, 0.6667, 0.2500)
La (0.6667, 0.3333, 0.7500)
Au (0.3333, 0.6667, 0.7500)
Au (0.6667, 0.3333, 0.2500)

Mass density ... 7.678 g/cm³
ΔE_f ... -95 kJ/mol of formula units
Space group ... P6_3/mmc, No. 194

Number 1: magnetic moment 0.0 μB per formula unit. Number 2: magnetic moment 1.3 μB per formula unit. Number 3: magnetic moment 0.5 μB per formula unit. Number 4: magnetic moment 0.0 μB per formula unit. Number 5: magnetic moment 0.0 μB per formula unit. Number 6: magnetic moment 0.0 μB per formula unit. Number 7: magnetic moment 0.0 μB per formula unit. Number 8: magnetic moment 0.0 μB per formula unit. Number 9: magnetic moment 0.0 μB per formula unit. Number 10: magnetic moment 0.0 μB per formula unit. Number 11: magnetic moment 0.0 μB per formula unit. Number 12: magnetic moment 0.2 μB per formula unit. Number 13: magnetic moment 0.0 μB per formula unit. Number 14: magnetic moment 0.0 μB per formula unit. Number 15: magnetic moment 0.0 μB per formula unit. Number 16: magnetic moment 0.0 μB per formula unit. Number 17: magnetic moment 0.0 μB per formula unit. Number 18: magnetic moment 0.0 μB per formula unit. Number 19: magnetic moment 0.0 μB per formula unit.